A | Crystalline Sr2CoRh at its relaxed geometry. Source: Alexandria via LeMat-Bulk, functional PBE.

Cell lengths 4.329, 4.329, 7.936 Å; angles 97.96, 97.96, 45.96 degrees
Fractional coordinates of all 4 atoms:
Sr: 0.246 0.246 0.234
Sr: 0.754 0.754 0.766
Co: 0.000 0.000 0.500
Rh: 0.500 0.500 0.000

SG: C2/m, No. 12
M_tot: 1.525 μB per cell


B | Crystalline Sr2CoRh at its relaxed geometry. Source: Alexandria via LeMat-Bulk, functional PBE.

Cell lengths 6.487, 6.487, 6.487 Å; angles 103.47, 103.47, 122.27 degrees
Fractional coordinates of all 8 atoms:
Sr: 0.113 0.625 0.988
Sr: 0.375 0.363 0.488
Sr: 0.637 0.125 0.012
Sr: 0.875 0.887 0.512
Co: 0.250 0.750 0.500
Co: 0.500 0.500 0.000
Rh: 0.000 0.000 0.000
Rh: 0.750 0.250 0.500

SG: I-42d, No. 122
M_tot: 3.379 μB per cell


The least stable of them is B.


A | Crystalline Sr2CoRh at its relaxed geometry. Source: Alexandria via LeMat-Bulk, functional PBE.

Cell lengths 5.034, 5.034, 5.034 Å; angles 60.00, 60.00, 60.00 degrees
Fractional coordinates of all 4 atoms:
Sr: 0.000 0.000 0.000
Sr: 0.250 0.250 0.250
Co: 0.750 0.750 0.750
Rh: 0.500 0.500 0.500

SG: F-43m, No. 216
M_tot: 1.661 μB per cell


B | Crystalline Sr2CoRh at its relaxed geometry. Source: Alexandria via LeMat-Bulk, functional PBE.

Cell lengths 5.913, 5.913, 5.913 Å; angles 136.59, 136.59, 63.06 degrees
Fractional coordinates of all 4 atoms:
Sr: 0.000 0.000 0.000
Sr: 0.750 0.250 0.500
Co: 0.250 0.750 0.500
Rh: 0.500 0.500 0.000

SG: I-4m2, No. 119
M_tot: 1.687 μB per cell


The least stable of them is A.


A | Crystalline SrCoRh2 at its relaxed geometry. Source: Alexandria via LeMat-Bulk, functional PBE.

Cell lengths 2.952, 4.306, 5.952 Å; angles 90.00, 104.29, 90.00 degrees
Fractional coordinates of all 4 atoms:
Sr: 0.000 0.000 0.000
Co: 0.647 0.500 0.296
Rh: 0.323 0.500 0.649
Rh: 0.745 0.000 0.491

SG: Pm, No. 6
M_tot: 2.285 μB per cell


B | Crystalline SrCoRh2 at its relaxed geometry. Source: Alexandria via LeMat-Bulk, functional PBE.

Cell lengths 2.940, 4.253, 5.955 Å; angles 90.00, 102.72, 90.00 degrees
Fractional coordinates of all 4 atoms:
Sr: 0.000 0.000 0.000
Co: 0.500 0.000 0.500
Rh: 0.320 0.500 0.689
Rh: 0.680 0.500 0.311

SG: P2/m, No. 10
M_tot: 2.531 μB per cell


C | Crystalline SrCoRh2 at its relaxed geometry. Source: Alexandria via LeMat-Bulk, functional PBE.

Cell lengths 4.617, 4.617, 4.617 Å; angles 60.00, 60.00, 60.00 degrees
Fractional coordinates of all 4 atoms:
Sr: 0.000 0.000 0.000
Co: 0.500 0.500 0.500
Rh: 0.250 0.250 0.250
Rh: 0.750 0.750 0.750

SG: Fm-3m, No. 225
M_tot: 2.977 μB per cell


The least stable of them is C.